SrIn2Tc: relaxed, GGA-PBE.

Output
- calculated density (Mg/m³) = 7.38
- space-group type = F-43m, No. 216
- calculated total energy (eV per atom) = -3.868
- ΔH_f (0 K) (eV/atom) = 0.514
- ΔE to the lowest computed polymorph (meV/atom) = 430

abc: 5.094 5.094 5.094
angles: 60.00 60.00 60.00
Fractional coordinates of all 4 atoms:
Sr 0.000 0.000 0.000
In 0.250 0.250 0.250
In 0.500 0.500 0.500
Tc 0.750 0.750 0.750



SrIn2Tc: relaxed, GGA-PBE.

Output
- calculated density (Mg/m³) = 6.68
- space-group type = P4mm, No. 99
- calculated total energy (eV per atom) = -4.144
- ΔH_f (0 K) (eV/atom) = 0.237
- ΔE to the lowest computed polymorph (meV/atom) = 153

abc: 3.655 3.655 7.726
angles: 90.00 90.00 90.00
Fractional coordinates of all 4 atoms:
Sr 0.000 0.000 0.000
In 0.000 0.000 0.416
In 0.500 0.500 0.666
Tc 0.500 0.500 0.296



SrIn2Tc: relaxed, GGA-PBE.

Output
- calculated density (Mg/m³) = 7.47
- space-group type = I4/mmm, No. 139
- calculated total energy (eV per atom) = -4.113
- ΔH_f (0 K) (eV/atom) = 0.268
- ΔE to the lowest computed polymorph (meV/atom) = 184

abc: 5.386 5.386 5.386
angles: 128.83 128.83 75.29
Fractional coordinates of all 4 atoms:
Sr 0.000 0.000 0.000
In 0.250 0.750 0.500
In 0.750 0.250 0.500
Tc 0.500 0.500 0.000



Sr4InTc: relaxed, GGA-PBE.

Output
- calculated density (Mg/m³) = 4.16
- space-group type = F-43m, No. 216
- calculated total energy (eV per atom) = -2.333
- ΔH_f (0 K) (eV/atom) = 0.972

abc: 6.828 6.828 6.828
angles: 60.00 60.00 60.00
Fractional coordinates of all 6 atoms:
Sr 0.124 0.124 0.124
Sr 0.124 0.124 0.627
Sr 0.124 0.627 0.124
Sr 0.627 0.124 0.124
In 0.500 0.500 0.500
Tc 0.750 0.750 0.750